No. 1
Computed, not measured: LaMnP2Cl after structural relaxation at the PBE level of DFT.

The calculation puts the calculated density at 4.761 g/cm3. The density of states at the Fermi level is 1.4 states/eV/cell. Its formation energy without anion corrections is -0.732 eV/atom.

The structure belongs to space group P4/mmm (No. 123); the cell edges are 4.593, 4.593 and 4.815 Å and the angles 90.00°, 90.00° and 90.00°. The asymmetric unit holds La at (0.000, 0.000, 0.000), Mn at (0.500, 0.500, 0.500), P at (0.000, 0.500, 0.500) and Cl at (0.500, 0.500, 0.000).



No. 2
Computed, not measured: TbGa2NiIr after structural relaxation at the PBE level of DFT.

Its energy of formation from the pure elements is -625 meV/atom. The calculation puts the calculated density at 10.510 g/cm3. The density of states at the Fermi level is 5.1 states/eV/cell.

The structure belongs to space group I-4m2 (No. 119); the cell edges are 4.080, 4.080 and 10.427 Å and the angles 90.00°, 90.00° and 90.00°. The asymmetric unit holds Tb at (0.000, 0.000, 0.000), Ga at (0.000, 0.000, 0.379), Ni at (0.000, 0.500, 0.750) and Ir at (0.000, 0.500, 0.250).



No. 3
Computed, not measured: TiZn2GaF after structural relaxation at the PBE level of DFT.

The calculation puts the calculated density at 5.560 g/cm3. The density of states at the Fermi level is 2.1 states/eV/cell. Its formation energy without anion corrections is -0.359 eV/atom.

The structure belongs to space group P4/mmm (No. 123); the cell edges are 4.369, 4.369 and 4.184 Å and the angles 90.00°, 90.00° and 90.00°. The asymmetric unit holds Ti at (0.000, 0.000, 0.000), Zn at (0.000, 0.500, 0.500), Ga at (0.500, 0.500, 0.000) and F at (0.000, 0.000, 0.500).



No. 4
Computed, not measured: AlAgTe after structural relaxation at the PBE level of DFT.

The calculation puts the calculated density at 6.207 g/cm3. The density of states at the Fermi level is 0.5 states/eV/cell. Its formation energy without anion corrections is -0.019 eV/atom.

The structure belongs to space group P3m1 (No. 156); the cell edges are 3.9715, 3.9715 and 5.1401 Å and the angles 90.00°, 90.00° and 120.00°. The asymmetric unit holds Al at (0.0000, 0.0000, 0.0000), Ag at (0.3333, 0.6667, 0.7002) and Te at (0.6667, 0.3333, 0.3115).



No. 5
Computed, not measured: ScNbCo2B after structural relaxation at the PBE level of DFT.

Its energy of formation from the pure elements is 1859 meV/atom. The calculation puts the calculated density at 4.480 g/cm3. The density of states at the Fermi level is 6.2 states/eV/cell.

The structure belongs to space group P4/mmm (No. 123); the cell edges are 4.359, 4.359 and 5.200 Å and the angles 90.00°, 90.00° and 90.00°. The asymmetric unit holds Sc at (0.000, 0.000, 0.000), Nb at (0.000, 0.000, 0.500), Co at (0.000, 0.500, 0.500) and B at (0.500, 0.500, 0.000).



No. 6
Computed, not measured: CaThCrN4 after structural relaxation at the PBE level of DFT.

The calculation puts the calculated density at 5.234 g/cm3. The density of states at the Fermi level is 0.0 states/eV/cell. Its formation energy without anion corrections is -1.063 eV/atom.

The structure belongs to space group P2_1/m (No. 11); the cell edges are 6.169, 5.418 and 7.223 Å and the angles 90.00°, 92.58° and 90.00°. The asymmetric unit holds Ca at (0.090, 0.250, 0.151), Th at (0.301, 0.250, 0.594), Cr at (0.197, 0.750, 0.340), N at (0.026, 0.250, 0.823), N at (0.094, 0.750, 0.558) and N at (0.370, 0.502, 0.323).



No. 7
Computed, not measured: PdRhN2F after structural relaxation at the PBE level of DFT.

The calculation puts the calculated density at 6.867 g/cm3. The density of states at the Fermi level is 3.7 states/eV/cell. Its formation energy without anion corrections is 0.863 eV/atom.

The structure belongs to space group P4/mmm (No. 123); the cell edges are 3.852, 3.852 and 4.177 Å and the angles 90.00°, 90.00° and 90.00°. The asymmetric unit holds Pd at (0.000, 0.000, 0.000), Rh at (0.500, 0.500, 0.500), N at (0.000, 0.500, 0.500) and F at (0.500, 0.500, 0.000).



No. 8
Computed, not measured: Ca6PtPb2 after structural relaxation at the PBE level of DFT.

Its energy of formation from the pure elements is -541 meV/atom. The calculation puts the calculated density at 4.671 g/cm3. The density of states at the Fermi level is 10.3 states/eV/cell.

The structure belongs to space group P2_1/c (No. 14); the cell edges are 6.844, 8.567 and 12.354 Å and the angles 90.00°, 123.45° and 90.00°. The asymmetric unit holds Ca at (0.103, 0.172, 0.446), Ca at (0.293, 0.690, 0.443), Ca at (0.338, 0.030, 0.237), Pt at (0.500, 0.000, 0.500) and Pb at (0.205, 0.110, 0.755).



No. 9
Computed, not measured: Mg2Cd2Pt after structural relaxation at the PBE level of DFT.

Its energy of formation from the pure elements is -126 meV/atom. The calculation puts the calculated density at 7.385 g/cm3. The density of states at the Fermi level is 3.7 states/eV/cell.

The structure belongs to space group P4/mbm (No. 127); the cell edges are 6.767, 6.767 and 4.601 Å and the angles 90.00°, 90.00° and 90.00°. The asymmetric unit holds Mg at (0.154, 0.346, 0.000), Cd at (0.160, 0.660, 0.500) and Pt at (0.000, 0.000, 0.000).



No. 10
Computed, not measured: Ca2Cu after structural relaxation at the PBE level of DFT.

Its energy of formation from the pure elements is 751 meV/atom. The calculation puts the calculated density at 2.378 g/cm3. The density of states at the Fermi level is 31.0 states/eV/cell.

The structure belongs to space group Fd-3m (No. 227, origin choice 2); the cell edges are 9.293, 9.293 and 9.293 Å and the angles 90.00°, 90.00° and 90.00°. The asymmetric unit holds Ca at (0.000, 0.000, 0.000) and Cu at (0.125, 0.125, 0.625).



no.,electronic total energy (eV per atom)
1,-6.09
2,-5.69
3,-3.43
4,-3.26
5,-5.60
6,-8.54
7,-5.35
8,-3.37
9,-2.34
10,-1.95